Below is a relaxed structure of NaCd3Sn5, with properties calculated at the PBE-GGA level.

Computed properties:
E_form   0.10 eV/atom
Symmetry   C2/m, No. 12
E   -0.0947 hartree per atom

Cell: 6.6705 6.6705 11.9467 Å, 98.27 98.27 80.33°
Sites, in units of the cell vectors:
Na  0.0702  0.0702  0.2613
Na  0.9298  0.9298  0.7387
Cd  0.0000  0.0000  0.0000
Cd  0.0000  0.0000  0.5000
Cd  0.2272  0.2272  0.8679
Cd  0.4258  0.4258  0.7156
Cd  0.5742  0.5742  0.2844
Cd  0.7728  0.7728  0.1321
Sn  0.0894  0.6043  0.3309
Sn  0.2884  0.2884  0.4838
Sn  0.3070  0.3070  0.1315
Sn  0.3240  0.6760  0.0000
Sn  0.3957  0.9106  0.6691
Sn  0.6043  0.0894  0.3309
Sn  0.6760  0.3240  0.0000
Sn  0.6930  0.6930  0.8685
Sn  0.7116  0.7116  0.5162
Sn  0.9106  0.3957  0.6691